# 1
CaGe3Pd | PBE | optimized geometry

Structure (POSCAR):
```
CaGe3Pd
1.0
-0.441 5.128 1.054
-4.333 -0.951 2.816
2.939 -0.633 4.309
Pd Ge Ca
1 3 1
direct
0.500 0.500 0.500
0.000 0.000 0.500
0.000 0.500 0.000
0.500 0.000 0.000
0.000 0.000 0.000
```

Computed properties:
SG: Pm-3m
energy relative to the elements: 1.212 eV/atom
volume: 145.0 Å³/f.u.

# 2
LiSnO2F | PBE | optimized geometry

Structure (POSCAR):
```
LiSnO2F
1.0
-2.819 2.480 -0.569
-2.527 -2.827 0.197
-0.268 0.476 3.398
Li O F Sn
1 2 1 1
direct
0.000 0.000 0.000
0.000 0.500 0.000
0.500 0.000 0.000
0.000 0.000 0.500
0.500 0.500 0.500
```

Computed properties:
SG: P4/mmm
formation energy from raw total energies: -1138 meV per atom
volume: 49.6 Å³/f.u.

# 3
Rb2SiAuBr6 | PBE | optimized geometry

Structure (POSCAR):
```
Rb2SiAuBr6
1.0
7.608 0.000 0.000
0.000 7.608 0.000
3.804 3.804 5.414
Br Au Rb Si
6 1 2 1
direct
0.261 0.739 0.000
0.261 0.261 0.000
0.739 0.739 0.000
0.738 0.738 0.525
0.262 0.262 0.475
0.739 0.261 0.000
0.000 0.000 0.000
0.750 0.250 0.500
0.250 0.750 0.500
0.500 0.500 0.000
```

Computed properties:
SG: I4/mmm
formation energy from raw total energies: -895 meV per atom
volume: 313.3 Å³/f.u.

# 4
BeGaTc2 | PBE | optimized geometry

Structure (POSCAR):
```
BeGaTc2
1.0
3.665 0.000 0.000
0.000 3.665 0.000
1.832 1.832 8.833
Ga Be Tc
2 2 4
direct
0.000 0.000 0.000
0.750 0.250 0.500
0.250 0.750 0.500
0.500 0.500 0.000
0.875 0.837 0.750
0.163 0.625 0.250
0.587 0.125 0.250
0.375 0.413 0.750
```

Computed properties:
SG: I-42d
excess energy over the best structure of this formula in the dataset: 0.329 eV per atom
energy relative to the elements: 0.395 eV/atom
volume: 59.3 Å³/f.u.

# 5
YWSe | PBE | optimized geometry

Structure (POSCAR):
```
YWSe
1.0
4.836 0.000 0.000
2.418 4.188 0.000
2.418 1.396 3.948
Se W Y
1 1 1
direct
0.000 0.000 0.000
0.500 0.500 0.500
0.750 0.750 0.750
```

Computed properties:
SG: F-43m
excess energy over the best structure of this formula in the dataset: 1.176 eV per atom
formation energy from raw total energies: 1108 meV per atom
volume: 80.0 Å³/f.u.

# 6
PmAl8Ni2 | PBE | optimized geometry

Structure (POSCAR):
```
PmAl8Ni2
1.0
-2.508 2.141 4.519
-4.440 -3.279 -0.911
3.251 -5.648 4.480
Al Ni Pm
8 2 1
direct
0.749 0.749 0.177
0.251 0.749 0.177
0.749 0.251 0.823
0.251 0.251 0.177
0.251 0.749 0.823
0.749 0.251 0.177
0.251 0.251 0.823
0.749 0.749 0.823
0.500 0.000 0.000
0.000 0.500 0.000
0.500 0.500 0.500
```

Computed properties:
SG: P4/mmm
energy relative to the elements: 0.012 eV/atom
volume: 247.5 Å³/f.u.

# 7
Si4NiSb | PBE | optimized geometry

Structure (POSCAR):
```
Si4NiSb
1.0
-1.176 -4.109 2.916
-4.946 -1.344 0.700
-1.851 -4.296 -2.210
Sb Si Ni
1 4 1
direct
0.000 0.000 0.000
0.376 0.376 0.872
0.872 0.376 0.376
0.376 0.376 0.376
0.376 0.872 0.376
0.750 0.750 0.750
```

Computed properties:
SG: F-43m
formation energy from raw total energies: 608 meV per atom
volume: 97.9 Å³/f.u.

# 8
HfTi2Te | PBE | optimized geometry

Structure (POSCAR):
```
HfTi2Te
1.0
3.763 0.000 0.000
0.000 4.480 0.000
0.000 0.000 4.480
Ti Te Hf
2 1 1
direct
0.000 0.000 0.500
0.000 0.500 0.000
0.500 0.000 0.000
0.500 0.500 0.500
```

Computed properties:
SG: P4/mmm
formation energy from raw total energies: -238 meV per atom
volume: 75.5 Å³/f.u.

# 9
TlVICl2 | PBE | optimized geometry

Structure (POSCAR):
```
TlVICl2
1.0
4.987 0.000 0.000
0.000 4.987 0.000
0.000 0.000 5.752
Cl V Tl I
2 1 1 1
direct
0.000 0.500 0.000
0.500 0.000 0.000
0.000 0.000 0.000
0.500 0.500 0.500
0.000 0.000 0.500
```

Computed properties:
SG: P4/mmm
formation energy from raw total energies: -802 meV per atom
volume: 143.0 Å³/f.u.

# 10
TiNi4Pt | PBE | optimized geometry

Structure (POSCAR):
```
TiNi4Pt
1.0
4.094 -0.054 -0.156
-2.010 3.567 -0.156
0.198 0.334 5.091
Ni Ti Pt
4 1 1
direct
0.667 0.834 0.752
0.334 0.167 0.752
0.333 0.166 0.248
0.666 0.833 0.248
0.000 0.500 0.500
0.000 0.500 0.000
```

Computed properties:
SG: P6/mmm
excess energy over the best structure of this formula in the dataset: 0.032 eV per atom
energy relative to the elements: -0.357 eV/atom
volume: 74.2 Å³/f.u.

# 11
KTc2Rh | PBE | optimized geometry

Structure (POSCAR):
```
KTc2Rh
1.0
-3.702 4.257 -0.550
-5.432 -1.603 -0.233
4.845 0.375 2.918
Tc K Rh
2 1 1
direct
0.202 0.702 0.500
0.015 0.015 0.000
0.496 0.496 0.000
0.788 0.288 0.500
```

Computed properties:
SG: Imm2
excess energy over the best structure of this formula in the dataset: 0.439 eV per atom
energy relative to the elements: 1.002 eV/atom
volume: 76.5 Å³/f.u.

# 12
NaAlCr2Re | PBE | optimized geometry

Structure (POSCAR):
```
NaAlCr2Re
1.0
-3.588 1.806 2.525
-3.093 -3.235 -2.082
0.893 -3.095 3.483
Cr Na Al Re
2 1 1 1
direct
0.500 0.000 0.000
0.000 0.000 0.500
0.500 0.500 0.500
0.000 0.500 0.000
0.000 0.000 0.000
```

Computed properties:
SG: P4/mmm
energy relative to the elements: 0.852 eV/atom
volume: 111.1 Å³/f.u.

# 13
PuSc2In | PBE | optimized geometry

Structure (POSCAR):
```
PuSc2In
1.0
-2.647 0.859 1.738
-1.781 -2.239 -1.606
2.032 -5.945 6.035
Sc Pu In
2 1 1
direct
0.000 0.000 0.240
0.000 0.000 0.760
0.500 0.500 0.500
0.500 0.500 0.000
```

Computed properties:
SG: P4/mmm
excess energy over the best structure of this formula in the dataset: 0.000 eV per atom
energy relative to the elements: -0.164 eV/atom
volume: 93.8 Å³/f.u.

# 14
Pm2Zn5Au3 | PBE | optimized geometry

Structure (POSCAR):
```
Pm2Zn5Au3
1.0
5.899 0.075 0.064
3.046 8.253 -0.664
3.046 0.616 8.257
Zn Au Pm
10 6 4
direct
0.008 0.747 0.741
0.630 0.736 0.999
0.750 0.504 0.496
0.492 0.259 0.253
0.870 0.001 0.264
0.130 0.999 0.736
0.992 0.253 0.259
0.370 0.264 0.001
0.250 0.496 0.504
0.508 0.741 0.747
0.750 0.993 0.007
0.381 0.472 0.770
0.619 0.528 0.230
0.119 0.230 0.528
0.881 0.770 0.472
0.250 0.007 0.993
0.877 0.367 0.882
0.123 0.633 0.118
0.623 0.118 0.633
0.377 0.882 0.367
```

Computed properties:
SG: C2/c
excess energy over the best structure of this formula in the dataset: 0.011 eV per atom
energy relative to the elements: -0.478 eV/atom
volume: 200.4 Å³/f.u.

# 15
Sr2GaSn5 | PBE | optimized geometry

Structure (POSCAR):
```
Sr2GaSn5
1.0
-6.263 1.388 1.701
-1.662 -6.393 0.644
-2.643 -2.523 7.062
Sr Sn Ga
2 5 1
direct
0.210 0.719 0.577
0.719 0.210 0.577
0.328 0.328 0.370
0.173 0.173 0.106
0.241 0.689 0.020
0.739 0.739 0.086
0.689 0.241 0.020
0.125 0.125 0.799
```

Computed properties:
SG: Cm
excess energy over the best structure of this formula in the dataset: 0.149 eV per atom
energy relative to the elements: -0.240 eV/atom
volume: 264.9 Å³/f.u.

# 16
BeAlHg2 | PBE | optimized geometry

Structure (POSCAR):
```
BeAlHg2
1.0
0.000 3.342 3.342
3.342 0.000 3.342
3.342 3.342 0.000
Hg Al Be
2 1 1
direct
0.250 0.250 0.250
0.750 0.750 0.750
0.500 0.500 0.500
0.000 0.000 0.000
```

Computed properties:
SG: Fm-3m
excess energy over the best structure of this formula in the dataset: 0.267 eV per atom
energy relative to the elements: 0.493 eV/atom
volume: 74.6 Å³/f.u.

# 17
RbTi2Cl8 | PBE | optimized geometry

Structure (POSCAR):
```
RbTi2Cl8
1.0
7.277 0.001 0.000
-0.001 7.126 -4.115
0.000 -0.001 8.232
Cl Ti Rb
8 2 1
direct
0.295 0.630 0.814
0.110 0.666 0.333
0.890 0.334 0.667
0.294 0.185 0.370
0.705 0.370 0.186
0.705 0.814 0.185
0.706 0.815 0.629
0.295 0.186 0.815
0.806 0.667 0.333
0.194 0.333 0.667
0.000 0.000 0.000
```

Computed properties:
SG: P-3m1
formation energy from raw total energies: -1640 meV per atom
volume: 426.8 Å³/f.u.

# 18
Ta2SbTeAu | PBE | optimized geometry

Structure (POSCAR):
```
Ta2SbTeAu
1.0
5.034 0.000 0.000
0.000 5.606 0.000
0.000 0.000 5.034
Sb Au Ta Te
1 1 2 1
direct
0.000 0.500 0.000
0.500 0.500 0.500
0.000 0.000 0.500
0.500 0.000 0.000
0.000 0.000 0.000
```

Computed properties:
SG: P4/mmm
formation energy from raw total energies: 1769 meV per atom
volume: 142.1 Å³/f.u.

# 19
RbLiSc2Cl8 | PBE | optimized geometry

Structure (POSCAR):
```
RbLiSc2Cl8
1.0
6.735 0.375 -0.004
0.497 6.481 -0.007
0.010 0.011 7.887
Cl Sc Rb Li
8 2 1 1
direct
0.621 0.698 0.500
0.187 0.733 0.213
0.367 0.289 0.000
0.633 0.711 0.000
0.187 0.734 0.787
0.813 0.267 0.787
0.813 0.266 0.213
0.379 0.302 0.500
0.500 0.500 0.760
0.500 0.500 0.240
0.000 0.000 0.500
0.000 0.000 0.000
```

Computed properties:
SG: P-1
formation energy from raw total energies: -1969 meV per atom
volume: 342.8 Å³/f.u.

# 20
La4NdPb3 | PBE | optimized geometry

Structure (POSCAR):
```
La4NdPb3
1.0
-3.650 4.573 2.614
-5.389 4.120 -6.879
-8.414 -3.830 2.806
Pb La Nd
6 8 2
direct
0.250 0.000 0.000
0.841 0.500 0.819
0.659 0.181 0.500
0.750 0.000 0.000
0.159 0.500 0.181
0.341 0.819 0.500
0.915 0.865 0.305
0.780 0.305 0.135
0.720 0.865 0.695
0.085 0.135 0.695
0.585 0.695 0.135
0.415 0.305 0.865
0.220 0.695 0.865
0.280 0.135 0.305
0.750 0.500 0.500
0.250 0.500 0.500
```

Computed properties:
SG: I4/mcm
energy relative to the elements: -0.560 eV/atom
volume: 266.2 Å³/f.u.